Below is Li4Mn3CoO8 after structural relaxation, with properties calculated at the PBE+U level.

Cell: 3.077 6.082 8.155 Å, 90.42 91.26 96.31°
Site moments in Bohr magnetons follow the coordinates.
Atoms (fractional coordinates):
Li (0.000, 0.500, 0.000)  0.00
Li (0.495, 0.751, 0.246)  0.00
Li (0.505, 0.249, 0.754)  0.00
Li (0.000, 0.000, 0.500)  0.00
Mn (0.502, 0.246, 0.248)  3.86
Mn (0.000, 0.500, 0.500)  3.86
Mn (0.498, 0.754, 0.752)  3.86
Co (0.000, 0.000, 0.000)  1.95
O (0.524, 0.765, 0.992)  0.02
O (0.025, 0.005, 0.235)  0.01
O (0.026, 0.510, 0.741)  0.01
O (0.529, 0.255, 0.489)  0.01
O (0.476, 0.235, 0.008)  0.02
O (0.974, 0.490, 0.259)  0.01
O (0.975, 0.995, 0.765)  0.01
O (0.471, 0.745, 0.511)  0.01

Summary:
Volume, Å³/f.u.: 152
Energy relative to the lowest polymorph listed for this composition, meV/atom: 4
Symmetry: P-1, No. 2
Total energy, eV/atom: -6.3626